# Al3Co4

Crystalline Al3Co4 at its relaxed geometry (PBE, Alexandria).

```
data_Al3Co4
_chemical_formula_sum 'Al6 Co8'
_symmetry_space_group_name_H-M 'I 4/m m m'
_symmetry_Int_Tables_number 139
_symmetry_space_group_name_Hall '-I 4 2'
_cell_length_a 2.943
_cell_length_b 2.943
_cell_length_c 19.692
_cell_angle_alpha 90.00
_cell_angle_beta 90.00
_cell_angle_gamma 90.00
loop_
_atom_site_label
_atom_site_type_symbol
_atom_site_fract_x
_atom_site_fract_y
_atom_site_fract_z
Al1 Al 0.000 0.000 0.000
Al2 Al 0.000 0.000 0.295
Co1 Co 0.000 0.000 0.142
Co2 Co 0.000 0.000 0.430
```

The value obtained for the final energy is -82.73 eV/cell. As for the distance to the lowest polymorph of the same formula: 0 meV/atom.